Entry 1:
# PBEsol KAsAuBr2, relaxed
data_KAsAuBr2
_space_group_name_H-M_alt 'P 1'
_space_group_IT_number 1
_cell_length_a 4.840
_cell_length_b 5.581
_cell_length_c 5.581
_cell_angle_alpha 90.00
_cell_angle_beta 90.00
_cell_angle_gamma 90.00
loop_
_space_group_symop_operation_xyz
'x,y,z'
loop_
_atom_site_label
_atom_site_fract_x
_atom_site_fract_y
_atom_site_fract_z
_atom_site_occupancy
As1 0.500 0.000 0.000 1
Au1 0.000 0.000 0.000 1
K1 0.500 0.500 0.500 1
Br1 0.000 0.000 0.500 1
Br2 0.000 0.500 0.000 1
# Energy relative to the elements, uncorrected   -1.37 eV per formula unit
# D(E_F)   3.09 states/eV per cell
# E   -3.054 eV per atom

---

Entry 2:
# PBEsol CsTiAsBr2, relaxed
data_CsTiAsBr2
_space_group_name_H-M_alt 'P 1'
_space_group_IT_number 1
_cell_length_a 4.881
_cell_length_b 5.348
_cell_length_c 5.348
_cell_angle_alpha 90.00
_cell_angle_beta 90.00
_cell_angle_gamma 90.00
loop_
_space_group_symop_operation_xyz
'x,y,z'
loop_
_atom_site_label
_atom_site_fract_x
_atom_site_fract_y
_atom_site_fract_z
_atom_site_occupancy
Cs1 0.500 0.500 0.500 1
As1 0.500 0.000 0.000 1
Br1 0.000 0.000 0.500 1
Br2 0.000 0.500 0.000 1
Ti1 0.000 0.000 0.000 1
# Energy relative to the elements, uncorrected   -4.53 eV per formula unit
# D(E_F)   3.21 states/eV per cell
# E   -4.528 eV per atom

---

Entry 3:
# PBEsol Pr2Te4O11, relaxed
data_Pr2Te4O11
_space_group_name_H-M_alt 'P 1'
_space_group_IT_number 1
_cell_length_a 5.229
_cell_length_b 6.817
_cell_length_c 15.972
_cell_angle_alpha 80.33
_cell_angle_beta 80.58
_cell_angle_gamma 67.45
loop_
_space_group_symop_operation_xyz
'x,y,z'
loop_
_atom_site_label
_atom_site_fract_x
_atom_site_fract_y
_atom_site_fract_z
_atom_site_occupancy
Pr1 0.626 0.699 0.538 1
Pr2 0.862 0.801 0.962 1
Pr3 0.374 0.301 0.462 1
Pr4 0.138 0.199 0.038 1
Te1 0.150 0.542 0.704 1
Te2 0.396 0.958 0.796 1
Te3 0.850 0.458 0.296 1
Te4 0.604 0.042 0.204 1
Te5 0.590 0.385 0.870 1
Te6 0.844 0.115 0.630 1
Te7 0.410 0.615 0.130 1
Te8 0.156 0.885 0.370 1
O1 0.138 0.250 0.750 1
O2 0.862 0.750 0.250 1
O3 0.094 0.871 0.826 1
O4 0.792 0.629 0.674 1
O5 0.906 0.129 0.174 1
O6 0.208 0.371 0.326 1
O7 0.435 0.052 0.898 1
O8 0.385 0.448 0.602 1
O9 0.565 0.948 0.102 1
O10 0.615 0.552 0.398 1
O11 0.809 0.190 0.952 1
O12 0.951 0.310 0.548 1
O13 0.818 0.133 0.369 1
O14 0.320 0.367 0.131 1
O15 0.182 0.867 0.631 1
O16 0.680 0.633 0.869 1
O17 0.333 0.973 0.442 1
O18 0.748 0.527 0.058 1
O19 0.667 0.027 0.558 1
O20 0.252 0.473 0.942 1
O21 0.049 0.690 0.452 1
O22 0.191 0.810 0.048 1
# Energy relative to the elements, uncorrected   -31.08 eV per formula unit
# D(E_F)   0.00 states/eV per cell
# E   -6.664 eV per atom

---

Entry 4:
# PBEsol TaTlH3, relaxed
data_TaTlH3
_space_group_name_H-M_alt 'P 1'
_space_group_IT_number 1
_cell_length_a 3.732
_cell_length_b 3.732
_cell_length_c 3.732
_cell_angle_alpha 90.00
_cell_angle_beta 90.00
_cell_angle_gamma 90.00
loop_
_space_group_symop_operation_xyz
'x,y,z'
loop_
_atom_site_label
_atom_site_fract_x
_atom_site_fract_y
_atom_site_fract_z
_atom_site_occupancy
H1 0.000 0.500 0.000 1
H2 0.000 0.000 0.500 1
H3 0.500 0.000 0.000 1
Tl1 0.500 0.500 0.500 1
Ta1 0.000 0.000 0.000 1
# D(E_F)   1.84 states/eV per cell
# E   -4.718 eV per atom

---

Entry 5:
# PBEsol Tl2FeSb, relaxed
data_Tl2FeSb
_space_group_name_H-M_alt 'P 1'
_space_group_IT_number 1
_cell_length_a 4.232
_cell_length_b 4.232
_cell_length_c 5.222
_cell_angle_alpha 90.00
_cell_angle_beta 90.00
_cell_angle_gamma 90.00
loop_
_space_group_symop_operation_xyz
'x,y,z'
loop_
_atom_site_label
_atom_site_fract_x
_atom_site_fract_y
_atom_site_fract_z
_atom_site_occupancy
Fe1 0.500 0.500 0.500 1
Sb1 0.000 0.000 0.500 1
Tl1 0.000 0.500 0.000 1
Tl2 0.500 0.000 0.000 1
# Energy relative to the elements, uncorrected   2.28 eV per formula unit
# D(E_F)   5.03 states/eV per cell
# E   -4.124 eV per atom

---

Entry 6:
# PBEsol Zr2MoPdSe, relaxed
data_Zr2MoPdSe
_space_group_name_H-M_alt 'P 1'
_space_group_IT_number 1
_cell_length_a 4.469
_cell_length_b 4.894
_cell_length_c 4.894
_cell_angle_alpha 90.00
_cell_angle_beta 90.00
_cell_angle_gamma 90.00
loop_
_space_group_symop_operation_xyz
'x,y,z'
loop_
_atom_site_label
_atom_site_fract_x
_atom_site_fract_y
_atom_site_fract_z
_atom_site_occupancy
Mo1 0.500 0.000 0.000 1
Se1 0.000 0.000 0.000 1
Zr1 0.000 0.000 0.500 1
Zr2 0.000 0.500 0.000 1
Pd1 0.500 0.500 0.500 1
# Energy relative to the elements, uncorrected   1.88 eV per formula unit
# D(E_F)   4.63 states/eV per cell
# E   -7.576 eV per atom

---

Entry 7:
# PBEsol Ba2Li2Mg, relaxed
data_Ba2Li2Mg
_space_group_name_H-M_alt 'P 1'
_space_group_IT_number 1
_cell_length_a 5.330
_cell_length_b 8.198
_cell_length_c 8.198
_cell_angle_alpha 90.00
_cell_angle_beta 90.00
_cell_angle_gamma 90.00
loop_
_space_group_symop_operation_xyz
'x,y,z'
loop_
_atom_site_label
_atom_site_fract_x
_atom_site_fract_y
_atom_site_fract_z
_atom_site_occupancy
Mg1 0.000 0.000 0.000 1
Mg2 0.000 0.500 0.500 1
Ba1 0.500 0.187 0.687 1
Ba2 0.500 0.687 0.813 1
Ba3 0.500 0.813 0.313 1
Ba4 0.500 0.313 0.187 1
Li1 0.000 0.377 0.877 1
Li2 0.000 0.877 0.623 1
Li3 0.000 0.623 0.123 1
Li4 0.000 0.123 0.377 1
# D(E_F)   9.03 states/eV per cell
# E   -1.948 eV per atom
# Energy above the lowest structure with this stoichiometry   0.000 eV/atom

---

Entry 8:
# PBEsol Sb2TePb, relaxed
data_Sb2TePb
_space_group_name_H-M_alt 'P 1'
_space_group_IT_number 1
_cell_length_a 4.400
_cell_length_b 4.536
_cell_length_c 6.794
_cell_angle_alpha 103.05
_cell_angle_beta 108.89
_cell_angle_gamma 90.00
loop_
_space_group_symop_operation_xyz
'x,y,z'
loop_
_atom_site_label
_atom_site_fract_x
_atom_site_fract_y
_atom_site_fract_z
_atom_site_occupancy
Pb1 0.500 0.500 0.000 1
Sb1 0.752 0.717 0.503 1
Sb2 0.248 0.283 0.497 1
Te1 0.000 0.000 0.000 1
# Energy relative to the elements, uncorrected   -0.27 eV per formula unit
# D(E_F)   1.21 states/eV per cell
# E   -4.226 eV per atom
# Energy above the lowest structure with this stoichiometry   0.050 eV/atom